Density functional theory data (PBE-GGA) for SiTcPd2 after structural relaxation.

Geometry as POSCAR:
```
SiTcPd2
1.0
-0.4898 3.3998 1.3721
-3.5886 -0.7279 0.5225
-0.1722 -1.8046 9.3957
Si Tc Pd
2 2 4
Cartesian
-2.0392 1.3360 0.9473
-2.9001 -0.5982 5.4327
0.0000 0.0000 0.0000
-1.3506 1.4656 5.8575
-0.7949 1.5629 3.2638
-2.3500 -0.4613 2.8550
-1.6795 -0.3557 7.7603
-3.6769 0.9887 8.7014
```

Calculated values
Total magnetic moment in μB/atom: 0.40
DOS at the Fermi energy in states/eV per cell: 7.7
Crystal system: tetragonal
Formation energy from raw total energies in eV per atom: 0.180

---

Density functional theory data (PBE-GGA) for Ag3Ir after structural relaxation.

Geometry as POSCAR:
```
Ag3Ir
1.0
-3.4507 4.2711 1.7667
0.6833 -4.6980 3.2762
3.6385 2.0422 2.1696
Ag Ir
6 2
Cartesian
-1.8425 3.2661 2.5642
2.7136 -1.6507 4.6483
-1.5056 0.9497 4.1795
2.3767 0.6656 3.0329
-0.1411 1.1602 1.6931
1.0122 0.4552 5.5194
0.2149 -1.1977 3.3154
0.6562 2.8131 3.8970
```

Calculated values
DFT formation energy in eV per atom: 0.45
Total magnetic moment in μB/atom: 0.00
DOS at the Fermi energy in states/eV per cell: 9.3
Crystal system: hexagonal

---

Density functional theory data (PBE-GGA) for Ac2YAl4Au3 after structural relaxation.

Geometry as POSCAR:
```
Ac2YAl4Au3
1.0
-0.0260 -1.1486 4.3426
4.4919 0.0199 0.0321
-0.0722 11.4209 3.0205
Ac Y Al Au
2 1 4 3
Cartesian
-0.0299 2.0952 2.8773
2.1906 8.7614 2.3305
2.1968 5.1461 3.6976
2.2330 -0.5644 2.1874
0.0000 0.0000 0.0000
-0.0609 6.9978 4.1739
2.2216 3.8588 1.0340
-0.0361 5.7105 1.5102
-0.0767 9.5000 4.8356
2.2374 1.3566 0.3722
```

Calculated values
DFT formation energy in eV per atom: -0.61
Total magnetic moment in μB/atom: 0.00
DOS at the Fermi energy in states/eV per cell: 6.7
Crystal system: tetragonal

---

Density functional theory data (PBE-GGA) for RuCSeN after structural relaxation.

Geometry as POSCAR:
```
RuCSeN
1.0
-0.7941 2.4809 0.9089
-1.3158 0.8423 -3.4479
-4.9998 -3.5033 2.4851
Ru C Se N
1 1 1 1
Cartesian
-6.3944 -1.1347 0.0573
-0.7570 0.3128 -0.4457
-4.0700 -0.8913 1.4228
-1.4003 0.4958 -1.5082
```

Calculated values
Total magnetic moment in μB/atom: 0.00
DOS at the Fermi energy in states/eV per cell: 1.7
Crystal system: triclinic
Formation energy from raw total energies in eV per atom: 0.396